# 1
A relaxed structure of Zr2ZnH, computed with PBE.

Lattice parameters (Å, degrees): 5.3234 5.3234 6.5210 65.91 65.91 90.00
Closest atoms and distances in Å follow each position.
Atoms (fractional coordinates):
H1 0.5000 0.5000 0.0000  4 Zr 1.95
H2 0.2500 0.7500 0.5000  4 Zr 1.95
Zn1 0.0000 0.0000 0.0000  4 Zr 2.86
Zn2 0.7500 0.2500 0.5000  4 Zr 2.86
Zr1 0.4701 0.1250 0.2500  2 H 1.95
Zr2 0.2799 0.6250 0.2500  2 H 1.95
Zr3 0.3750 0.5299 0.7500  2 H 1.95
Zr4 0.8750 0.7201 0.7500  2 H 1.95

As for the symmetry: I-42d (122). The total energy comes out at -5.190 eV/atom.


# 2
A relaxed structure of Tb2ThBi, computed with PBE.

Lattice parameters (Å, degrees): 3.5721 3.5721 12.1680 81.56 81.56 60.00
Closest atoms and distances in Å follow each position.
Atoms (fractional coordinates):
Tb1 0.0885 0.0885 0.7345  1 Bi 3.18, 3 Th 3.49
Tb2 0.9115 0.9115 0.2655  1 Bi 3.18, 3 Th 3.49
Bi1 0.0000 0.0000 0.0000  2 Tb 3.18
Th1 0.5000 0.5000 0.5000  6 Tb 3.49, 6 Th 3.57

As for the symmetry: R-3m (166). As for the formation enthalpy at 0 K: 0.012 eV per atom.


# 3
A relaxed structure of Zr3N, computed with PBE.

Lattice parameters (Å, degrees): 2.9972 3.0970 8.0679 90.00 90.00 90.00
Closest atoms and distances in Å follow each position.
Atoms (fractional coordinates):
Zr1 0.0000 0.5000 0.4728  8 Zr 3.00-3.19
Zr2 0.5000 0.5000 0.0985  4 N 2.30
Zr3 0.5000 0.0000 0.7645  2 N 2.40
N1 0.0000 0.0000 0.9975  6 Zr 2.30-2.40

As for the symmetry: Pmm2 (25). For the uncorrected formation energy, the calculation gives -473 meV/atom.


# 4
A relaxed structure of Li2InBiH, computed with PBE.

Lattice parameters (Å, degrees): 4.4492 4.4492 4.7565 90.00 90.00 90.00
Closest atoms and distances in Å follow each position.
Atoms (fractional coordinates):
H1 0.0000 0.0000 0.0000  4 Li 2.22, 2 In 2.38
Li1 0.0000 0.5000 0.0000  2 H 2.22
Li2 0.5000 0.0000 0.0000  2 H 2.22
Bi1 0.5000 0.5000 0.5000  4 In 3.15, 8 Li 3.26
In1 0.0000 0.0000 0.5000  2 H 2.38

As for the symmetry: P4/mmm (123). The total energy comes out at -2.979 eV/atom.


# 5
A relaxed structure of CaTaGe, computed with PBE.

Lattice parameters (Å, degrees): 16.2505 4.1735 3.9212 90.00 90.00 90.00
Closest atoms and distances in Å follow each position.
Atoms (fractional coordinates):
Ge1 0.6188 0.0000 0.0000  4 Ta 2.75-2.84, 4 Ca 3.00
Ge2 0.3812 0.0000 0.0000  4 Ta 2.75-2.84, 4 Ca 3.00
Ge3 0.1188 0.5000 0.5000  4 Ta 2.75-2.84, 4 Ca 3.00
Ge4 0.8812 0.5000 0.5000  4 Ta 2.75-2.84, 4 Ca 3.00
Ca1 0.8261 0.0000 0.0000  4 Ge 3.00
Ca2 0.1739 0.0000 0.0000  4 Ge 3.00
Ca3 0.3261 0.5000 0.5000  4 Ge 3.00
Ca4 0.6739 0.5000 0.5000  4 Ge 3.00
Ta1 0.5000 0.0000 0.5000  4 Ge 2.75, 4 Ta 2.86
Ta2 0.0000 0.5000 0.0000  4 Ge 2.75, 4 Ta 2.86
Ta3 0.5000 0.5000 0.0000  4 Ge 2.84, 4 Ta 2.86
Ta4 0.0000 0.0000 0.5000  4 Ge 2.84, 4 Ta 2.86

As for the symmetry: Immm (71). As for the formation enthalpy at 0 K: -0.388 eV per atom.


# 6
A relaxed structure of NaAgSbPb, computed with PBE.

Lattice parameters (Å, degrees): 5.2147 5.2147 5.2147 60.00 60.00 60.00
Closest atoms and distances in Å follow each position.
Atoms (fractional coordinates):
Pb1 0.0000 0.0000 0.0000  4 Ag 3.19, 4 Na 3.19
Sb1 0.5000 0.5000 0.5000  4 Na 3.19, 4 Ag 3.19
Ag1 0.2500 0.2500 0.2500  4 Pb 3.19, 4 Sb 3.19
Na1 0.7500 0.7500 0.7500  4 Pb 3.19, 4 Sb 3.19

As for the symmetry: F-43m (216). For the uncorrected formation energy, the calculation gives -52 meV/atom.


Number 1: total magnetization 0.00 Bohr magnetons per cell. Number 2: total magnetization 0.00 Bohr magnetons per cell. Number 3: total magnetization 0.00 Bohr magnetons per cell. Number 4: total magnetization 0.00 Bohr magnetons per cell. Number 5: total magnetization 0.00 Bohr magnetons per cell. Number 6: total magnetization 0.00 Bohr magnetons per cell.